1.
A geometry-optimized CaMg2Fe structure, computed with GGA-PBEsol.

Calculated values
Total DFT energy (no corrections) = -12.91 eV for the cell shown
Energy relative to the elements = 0.40 eV/atom
Volume = 87 Å³/f.u.
Crystal system = tetragonal
Spin magnetization = 2.3 μB per cell

Lattice parameters (Å, degrees): 4.3535 4.3535 4.5778 90.00 90.00 90.00
With the nearest neighbours (Å) after each atom.
Space group P4/mmm (No. 123)
Symmetry-distinct sites (fractional):
Ca1 0.0000 0.0000 0.0000 x1  4 Fe 3.08, 8 Mg 3.16
Mg1 0.0000 0.5000 0.5000 x2  4 Mg 3.08, 4 Fe 3.16, 4 Ca 3.16
Fe1 0.5000 0.5000 0.0000 x1  4 Ca 3.08, 8 Mg 3.16

2.
A geometry-optimized CaMgFe structure, computed with GGA-PBEsol.

Calculated values
Total DFT energy (no corrections) = -11.05 eV for the cell shown
Energy relative to the elements = 0.59 eV/atom
Volume = 63 Å³/f.u.
Crystal system = trigonal
Spin magnetization = 2.2 μB per cell

Lattice parameters (Å, degrees): 3.1662 3.1662 7.2993 90.00 90.00 120.00
With the nearest neighbours (Å) after each atom.
Space group P3m1 (No. 156)
Symmetry-distinct sites (fractional):
Ca1 0.0000 0.0000 0.0000 x1  3 Fe 2.91, 6 Ca 3.17
Mg1 0.3333 0.6667 0.4064 x1  3 Fe 2.76
Fe1 0.6667 0.3333 0.6905 x1  3 Mg 2.76, 3 Ca 2.91

3.
A geometry-optimized NaCa3MgFeSi4O14 structure, computed with GGA-PBEsol.

Calculated values
Total DFT energy (no corrections) = -180.23 eV for the cell shown
Volume = 308 Å³/f.u.
Crystal system = triclinic
Energy relative to the elements, uncorrected = -2.720 eV/atom
Spin magnetization = 5.0 μB per cell

Lattice parameters (Å, degrees): 5.0481 7.7561 7.8827 89.48 87.45 89.67
With the nearest neighbours (Å) after each atom.
Space group P1 (No. 1)
Symmetry-distinct sites (fractional):
Na1 0.0000 0.0000 0.0000 x1  4 O 2.41-2.64
Ca1 0.0065 0.5322 0.8517 x1  7 O 2.36-2.61
Ca2 0.9595 0.8322 0.4866 x1  5 O 2.29-2.56
Ca3 0.9882 0.3457 0.3163 x1  7 O 2.36-2.58
Mg1 0.4822 0.6768 0.1659 x1  4 O 1.92-1.94
Fe1 0.4983 0.2013 0.6663 x1  4 O 1.84-1.88
Si1 0.4115 0.5486 0.5172 x1  4 O 1.60-1.67
Si2 0.4453 0.8226 0.7995 x1  4 O 1.61-1.69
Si3 0.5348 0.0454 0.3073 x1  4 O 1.61-1.67
Si4 0.5577 0.3294 0.0273 x1  4 O 1.60-1.66
O1 0.2173 0.0542 0.3287 x1  1 Si 1.61
O2 0.2413 0.3501 0.0369 x1  1 Si 1.60
O3 0.2466 0.5945 0.3492 x1  1 Si 1.63
O4 0.2613 0.3761 0.6019 x1  1 Si 1.66
O5 0.2928 0.7498 0.9710 x1  1 Si 1.62
O6 0.3057 0.7049 0.6488 x1  2 Si 1.67-1.69
O7 0.3231 0.0162 0.7654 x1  1 Si 1.64, 1 Fe 1.84
O8 0.6613 0.1686 0.1491 x1  2 Si 1.66-1.67
O9 0.6714 0.8590 0.2716 x1  1 Si 1.62
O10 0.6910 0.1213 0.4735 x1  1 Si 1.67
O11 0.6973 0.2963 0.8366 x1  1 Si 1.65
O12 0.7240 0.4939 0.0954 x1  1 Si 1.64
O13 0.7275 0.5360 0.4966 x1  1 Si 1.60
O14 0.7631 0.8038 0.7813 x1  1 Si 1.61

4.
A geometry-optimized NaCaMgFeSi4O12 structure, computed with GGA-PBEsol.

Calculated values
Total DFT energy (no corrections) = -305.40 eV for the cell shown
Volume = 219 Å³/f.u.
Crystal system = monoclinic
Energy relative to the elements, uncorrected = -2.625 eV/atom
Spin magnetization = 10.0 μB per cell

Lattice parameters (Å, degrees): 9.7571 8.8606 5.2856 90.00 106.81 90.00
With the nearest neighbours (Å) after each atom.
Space group C2 (No. 5)
Symmetry-distinct sites (fractional):
Na1 0.0000 0.0000 0.0000 x2  6 O 2.39-2.52
Ca1 0.0000 0.5996 0.5000 x2  6 O 2.34-2.49
Mg1 0.0000 0.3898 0.0000 x2  6 O 2.04-2.10
Fe1 0.0000 0.1954 0.5000 x2  6 O 1.94-2.17
Si1 0.2121 0.7066 0.0208 x4  4 O 1.60-1.68
Si2 0.2122 0.8906 0.5162 x4  4 O 1.62-1.67
O1 0.1141 0.2165 0.8808 x4  1 Si 1.63
O2 0.1142 0.3844 0.3968 x4  1 Si 1.62
O3 0.1384 0.5462 0.9329 x4  1 Si 1.60
O4 0.1404 0.0552 0.4426 x4  1 Si 1.62
O5 0.1457 0.7833 0.2488 x4  2 Si 1.67
O6 0.1502 0.8107 0.7448 x4  2 Si 1.66-1.68

5.
A geometry-optimized CaMg30FeO32 structure, computed with GGA-PBEsol.

Calculated values
Total DFT energy (no corrections) = -401.68 eV for the cell shown
Volume = 611 Å³/f.u.
Crystal system = tetragonal
Energy relative to the elements, uncorrected = -2.673 eV/atom
Spin magnetization = 4.0 μB per cell

Lattice parameters (Å, degrees): 8.4823 8.4823 8.4905 90.00 90.00 90.00
With the nearest neighbours (Å) after each atom.
Space group P4/mmm (No. 123)
Symmetry-distinct sites (fractional):
Ca1 0.0000 0.0000 0.0000 x1  6 O 2.22
Mg1 0.0000 0.0000 0.5000 x1  6 O 2.02-2.14
Mg2 0.0000 0.2530 0.2529 x8  6 O 2.10-2.15
Mg3 0.0000 0.5000 0.0000 x2  6 O 2.02-2.14
Mg4 0.0000 0.5000 0.5000 x2  6 O 2.10-2.12
Mg5 0.2504 0.2504 0.5000 x4  6 O 2.12-2.13
Mg6 0.2508 0.5000 0.2503 x8  6 O 2.11-2.13
Mg7 0.2528 0.2528 0.0000 x4  6 O 2.10-2.15
Mg8 0.5000 0.5000 0.5000 x1  6 O 2.08-2.12
Fe1 0.5000 0.5000 0.0000 x1  6 O 2.13-2.17
O1 0.0000 0.0000 0.2620 x2  5 Mg 2.02-2.15, 1 Ca 2.22
O2 0.0000 0.2519 0.5000 x4  6 Mg 2.10-2.14
O3 0.0000 0.2620 0.0000 x4  5 Mg 2.02-2.15, 1 Ca 2.22
O4 0.0000 0.5000 0.2520 x4  6 Mg 2.10-2.14
O5 0.2494 0.5000 0.0000 x4  5 Mg 2.10-2.13, 1 Fe 2.13
O6 0.2502 0.2502 0.2496 x8  6 Mg 2.12-2.13
O7 0.2500 0.5000 0.5000 x4  6 Mg 2.12
O8 0.5000 0.5000 0.2553 x2  5 Mg 2.08-2.11, 1 Fe 2.17

6.
A geometry-optimized Ca2MgFeSi4O12 structure, computed with GGA-PBEsol.

Calculated values
Total DFT energy (no corrections) = -311.27 eV for the cell shown
Volume = 222 Å³/f.u.
Crystal system = monoclinic
Energy relative to the elements, uncorrected = -2.736 eV/atom
Spin magnetization = 8.0 μB per cell

Lattice parameters (Å, degrees): 9.8279 8.9135 5.2594 90.00 105.39 90.00
With the nearest neighbours (Å) after each atom.
Space group C2 (No. 5)
Symmetry-distinct sites (fractional):
Ca1 0.0000 0.0000 0.0000 x2  6 O 2.33-2.57
Ca2 0.0000 0.4007 0.5000 x2  4 O 2.32-2.34
Mg1 0.0000 0.7883 0.5000 x2  6 O 2.05-2.11
Fe1 0.0000 0.6038 0.0000 x2  6 O 2.04-2.16
Si1 0.2120 0.1043 0.5166 x4  4 O 1.60-1.70
Si2 0.2143 0.2920 0.0190 x4  4 O 1.60-1.69
O1 0.1153 0.7885 0.8920 x4  1 Si 1.62
O2 0.1178 0.6100 0.4021 x4  1 Si 1.61
O3 0.1358 0.9473 0.4253 x4  1 Si 1.60
O4 0.1394 0.4501 0.9267 x4  1 Si 1.60
O5 0.1475 0.2178 0.2531 x4  2 Si 1.68-1.70
O6 0.1494 0.1798 0.7550 x4  2 Si 1.68-1.69

7.
A geometry-optimized Ca2MnFe structure, computed with GGA-PBEsol.

Calculated values
Total DFT energy (no corrections) = -41.48 eV for the cell shown
Energy above the most stable polymorph in this dataset = 125 meV/atom
Energy relative to the elements = 0.56 eV/atom
Volume = 83 Å³/f.u.
Crystal system = monoclinic
Spin magnetization = 9.2 μB per cell

Lattice parameters (Å, degrees): 10.9083 3.1245 5.2222 90.00 110.40 90.00
With the nearest neighbours (Å) after each atom.
Space group Cm (No. 8)
Symmetry-distinct sites (fractional):
Ca1 0.0000 0.0000 0.0000 x2  3 Mn 3.02-3.26, 4 Fe 3.11-3.13, 4 Ca 3.12-3.30
Ca2 0.1956 0.0000 0.6456 x2  4 Mn 3.09-3.24, 3 Fe 3.10-3.11, 4 Ca 3.12-3.30
Mn1 0.2795 0.5000 0.2245 x2  2 Fe 2.29
Fe1 0.4325 0.0000 0.4475 x2  2 Mn 2.29

8.
A geometry-optimized CaMnFe structure, computed with GGA-PBEsol.

Calculated values
Total DFT energy (no corrections) = -63.74 eV for the cell shown
Energy relative to the elements = 1.64 eV/atom
Volume = 67 Å³/f.u.
Crystal system = cubic
Spin magnetization = 26.9 μB per cell

Lattice parameters (Å, degrees): 6.4391 6.4391 6.4391 90.00 90.00 90.00
With the nearest neighbours (Å) after each atom.
Space group F-43m (No. 216)
Symmetry-distinct sites (fractional):
Ca1 0.0000 0.0000 0.0000 x4  4 Mn 2.79, 4 Fe 2.79
Mn1 0.2500 0.2500 0.2500 x4  4 Ca 2.79
Fe1 0.2500 0.2500 0.7500 x4  4 Ca 2.79

9.
A geometry-optimized CaMn2Fe2 structure, computed with GGA-PBEsol.

Calculated values
Total DFT energy (no corrections) = -75.87 eV for the cell shown
Energy relative to the elements = 0.33 eV/atom
Volume = 69 Å³/f.u.
Crystal system = tetragonal
Spin magnetization = 1.9 μB per cell

Lattice parameters (Å, degrees): 3.8880 3.8880 9.1537 90.00 90.00 90.00
With the nearest neighbours (Å) after each atom.
Space group I4/mmm (No. 139)
Symmetry-distinct sites (fractional):
Ca1 0.0000 0.0000 0.0000 x2  8 Fe 3.00, 8 Mn 3.00
Mn1 0.0000 0.5000 0.2500 x4  4 Fe 2.23
Fe1 0.0000 0.0000 0.3689 x4  4 Mn 2.23, 1 Fe 2.40

10.
A geometry-optimized CaMnFe structure, computed with GGA-PBEsol.

Calculated values
Total DFT energy (no corrections) = -38.59 eV for the cell shown
Energy relative to the elements = 0.52 eV/atom
Volume = 50 Å³/f.u.
Crystal system = tetragonal
Spin magnetization = 7.5 μB per cell

Lattice parameters (Å, degrees): 3.0810 3.0810 10.4860 90.00 90.00 90.00
With the nearest neighbours (Å) after each atom.
Space group I4mm (No. 107)
Symmetry-distinct sites (fractional):
Ca1 0.0000 0.0000 0.0000 x2  5 Mn 3.00-3.13, 5 Fe 3.06-3.10, 4 Ca 3.08
Mn1 0.0000 0.0000 0.2862 x2  4 Fe 2.34
Fe1 0.0000 0.0000 0.7046 x2  4 Mn 2.34